Crystalline LiCu2BPt at its relaxed geometry, computed with GGA-PBE.

The structure in CIF format:
```
data_LiCu2BPt
_chemical_formula_sum 'Li1 Cu2 B1 Pt1'
_cell_length_a 4.000
_cell_length_b 4.000
_cell_length_c 4.084
_cell_angle_alpha 90.00
_cell_angle_beta 90.00
_cell_angle_gamma 90.00
_symmetry_space_group_name_H-M 'P 1'
_symmetry_Int_Tables_number 1
_symmetry_space_group_name_Hall 'P 1'
loop_
_atom_site_label
_atom_site_type_symbol
_atom_site_fract_x
_atom_site_fract_y
_atom_site_fract_z
Cu1 Cu 0.000 0.500 0.000
B1 B 0.000 0.000 0.000
Cu2 Cu 0.500 0.000 0.000
Li1 Li 0.500 0.500 0.500
Pt1 Pt 0.000 0.000 0.500
```

Properties
Formation energy from the elements: -0.141 eV per atom
Total energy: -4.706 eV/atom
SG: No. 123